# GGA+U Ti2AgWF, relaxed
data_Ti2AgWF
_space_group_name_H-M_alt 'P 1'
_space_group_IT_number 1
_cell_length_a 4.983
_cell_length_b 4.983
_cell_length_c 5.257
_cell_angle_alpha 90.00
_cell_angle_beta 90.00
_cell_angle_gamma 90.00
loop_
_space_group_symop_operation_xyz
'x,y,z'
loop_
_atom_site_label
_atom_site_type_symbol
_atom_site_fract_x
_atom_site_fract_y
_atom_site_fract_z
Ti1 Ti 0.000 0.500 0.000
Ti2 Ti 0.500 0.000 0.000
Ag1 Ag 0.000 0.000 0.000
W1 W 0.000 0.000 0.500
F1 F 0.500 0.500 0.500
# symmetry	P4/mmm
# calculated total energy	-21.2	eV per cell